Record 1
Here is a geometry-optimized CsAuO3 structure from OQMD. Energies are from PBE-GGA.

extended XYZ file:
```
20
Lattice="5.865 0.000 0.000 0.000 8.662 0.000 0.000 0.000 5.880" Properties=species:S:1:pos:R:3 pbc="T T T"
Cs 0.016 2.166 0.007
Cs 2.916 6.497 2.947
Cs 2.949 2.166 2.933
Cs 5.849 6.497 5.874
Au 0.000 0.000 2.940
Au 0.000 4.331 2.940
Au 2.932 0.000 0.000
Au 2.932 4.331 0.000
O 0.007 2.166 2.974
O 1.271 4.363 4.606
O 1.271 8.630 4.606
O 1.662 0.032 1.666
O 1.662 4.299 1.666
O 2.925 6.497 0.034
O 2.940 2.166 5.847
O 4.203 4.363 4.214
O 4.203 8.630 4.214
O 4.594 0.032 1.274
O 4.594 4.299 1.274
O 5.858 6.497 2.907
```

Results
Space-group type: No. 62
Energy: -76.7 eV for the cell shown
Calculated density: 8.402 g cm⁻³

Record 2
Here is a geometry-optimized CsOsAuO3 structure from OQMD. Energies are from PBE-GGA.

extended XYZ file:
```
24
Lattice="12.859 0.000 0.000 0.000 3.247 0.000 0.000 0.000 10.844" Properties=species:S:1:pos:R:3 pbc="T T T"
Cs 3.168 0.812 1.092
Cs 3.262 2.435 6.515
Cs 9.598 0.812 4.330
Cs 9.691 2.435 9.752
Os 0.563 2.435 4.121
Os 5.867 0.812 9.543
Os 6.992 2.435 1.301
Os 12.296 0.812 6.723
Au 0.264 2.435 9.803
Au 6.165 0.812 4.380
Au 6.694 2.435 6.464
Au 12.595 0.812 1.042
O 0.281 2.435 7.591
O 0.992 0.812 5.337
O 2.166 2.435 3.327
O 4.264 0.812 8.749
O 5.438 2.435 10.759
O 6.148 0.812 2.168
O 6.711 2.435 8.676
O 7.421 0.812 0.085
O 8.595 2.435 2.095
O 10.694 0.812 7.518
O 11.867 2.435 5.507
O 12.578 0.812 3.254
```

Results
Space-group type: No. 62
Energy: -139.5 eV for the cell shown
Magnetization: 4.27 μB/cell
Calculated density: 8.335 g cm⁻³

Record 3
Here is a geometry-optimized CsOsAu3O4 structure from OQMD. Energies are from PBE-GGA.

extended XYZ file:
```
9
Lattice="5.898 0.000 0.000 0.000 5.898 0.000 0.000 0.000 5.898" Properties=species:S:1:pos:R:3 pbc="T T T"
Cs 0.000 0.000 0.000
Os 2.949 2.949 2.949
Au 0.000 2.949 2.949
Au 2.949 0.000 2.949
Au 2.949 2.949 0.000
O 1.854 1.854 1.854
O 1.854 4.044 4.044
O 4.044 1.854 4.044
O 4.044 4.044 1.854
```

Results
Space-group type: No. 215
Energy: -41.3 eV for the cell shown
Magnetization: 1.69 μB/cell
Calculated density: 7.915 g cm⁻³

Record 4
Here is a geometry-optimized CsPAuO structure from OQMD. Energies are from PBE-GGA.

extended XYZ file:
```
8
Lattice="3.897 0.000 0.000 0.000 6.275 0.000 0.000 0.000 8.230" Properties=species:S:1:pos:R:3 pbc="T T T"
Cs 0.000 0.793 0.000
Cs 0.000 5.482 4.115
P 1.948 2.069 5.270
P 1.948 4.206 1.155
Au 1.948 2.560 2.910
Au 1.948 3.715 7.025
O 0.000 1.962 2.721
O 0.000 4.313 6.835
```

Results
Relative energy among the computed polymorphs: 298 meV/atom
Space-group type: No. 26
Energy: -29.8 eV for the cell shown
Calculated density: 6.219 g cm⁻³

Record 5
Here is a geometry-optimized CsPAuO structure from OQMD. Energies are from PBE-GGA.

extended XYZ file:
```
8
Lattice="4.816 0.000 0.000 0.000 4.816 0.000 0.000 0.000 8.622" Properties=species:S:1:pos:R:3 pbc="T T T"
Cs 1.204 3.612 0.000
Cs 3.612 1.204 0.000
P 1.204 1.204 2.226
P 3.612 3.612 6.396
Au 1.204 1.204 4.505
Au 3.612 3.612 4.116
O 1.204 3.612 4.311
O 3.612 1.204 4.311
```

Results
Relative energy among the computed polymorphs: 1144 meV/atom
Space-group type: No. 129
Energy: -23.0 eV for the cell shown
Calculated density: 6.258 g cm⁻³

Record 6
Here is a geometry-optimized CsPAuO structure from OQMD. Energies are from PBE-GGA.

extended XYZ file:
```
8
Lattice="3.603 0.000 0.000 0.000 10.558 0.000 0.000 0.000 4.828" Properties=species:S:1:pos:R:3 pbc="T T T"
Cs 0.000 1.319 0.000
Cs 0.000 9.239 2.414
P 0.000 5.034 2.634
P 0.000 5.524 0.220
Au 1.801 3.466 2.508
Au 1.801 7.093 0.094
O 1.801 1.489 2.369
O 1.801 9.069 4.784
```

Results
Relative energy among the computed polymorphs: 0 meV/atom
Space-group type: No. 26
Energy: -32.2 eV for the cell shown
Calculated density: 6.814 g cm⁻³

Record 7
Here is a geometry-optimized CsPAuO structure from OQMD. Energies are from PBE-GGA.

extended XYZ file:
```
8
Lattice="4.447 0.000 0.000 0.000 4.447 0.000 0.000 0.000 11.166" Properties=species:S:1:pos:R:3 pbc="T T T"
Cs 1.112 1.112 1.738
Cs 3.335 3.335 9.428
P 1.112 1.112 6.692
P 3.335 3.335 4.474
Au 1.112 3.335 5.583
Au 3.335 1.112 5.583
O 1.112 3.335 0.000
O 3.335 1.112 0.000
```

Results
Relative energy among the computed polymorphs: 484 meV/atom
Space-group type: No. 129
Energy: -28.3 eV for the cell shown
Calculated density: 5.668 g cm⁻³

Record 8
Here is a geometry-optimized CsPbAuO3 structure from OQMD. Energies are from PBE-GGA.

extended XYZ file:
```
24
Lattice="13.232 0.000 0.000 0.000 3.405 0.000 0.000 0.000 10.728" Properties=species:S:1:pos:R:3 pbc="T T T"
Cs 3.264 0.851 1.377
Cs 3.352 2.553 6.741
Cs 9.880 0.851 3.987
Cs 9.968 2.553 9.351
Pb 0.428 0.851 3.919
Pb 6.188 2.553 9.283
Pb 7.044 0.851 1.444
Pb 12.804 2.553 6.808
Au 0.339 0.851 9.834
Au 6.277 2.553 4.470
Au 6.955 0.851 6.258
Au 12.893 2.553 0.894
O 0.867 2.553 8.591
O 0.956 0.851 6.071
O 1.696 2.553 3.360
O 4.920 0.851 8.724
O 5.660 2.553 0.708
O 5.749 0.851 3.227
O 7.483 2.553 7.501
O 7.572 0.851 10.020
O 8.312 2.553 2.004
O 11.536 0.851 7.368
O 12.276 2.553 4.656
O 12.365 0.851 2.137
```

Results
Space-group type: No. 62
Energy: -110.4 eV for the cell shown
Calculated density: 8.041 g cm⁻³